(1)
# CoINF2 PBEsol optimized geometry
# - crystal system = tetragonal
# - total moment (μB per formula unit) = 1.4
# - D(E_F) (states/eV per cell) = 3.871
# - E_form (uncorrected) (eV/atom) = -0.1594
data_CoINF2
_symmetry_space_group_name_H-M 'P 1'
_symmetry_Int_Tables_number 1
_cell_length_a 3.9315
_cell_length_b 3.9315
_cell_length_c 3.8954
_cell_angle_alpha 90.00
_cell_angle_beta 90.00
_cell_angle_gamma 90.00
loop_
_symmetry_equiv_pos_as_xyz
'x,y,z'
loop_
_atom_site_label
_atom_site_fract_x
_atom_site_fract_y
_atom_site_fract_z
F1 0.5000 0.0000 0.0000
F2 0.0000 0.5000 0.0000
Co1 0.0000 0.0000 0.0000
I1 0.5000 0.5000 0.5000
N1 0.0000 0.0000 0.5000

(2)
# CdCuSi3 PBEsol optimized geometry
# - crystal system = cubic
# - total moment (μB per formula unit) = 0.0
# - D(E_F) (states/eV per cell) = 2.304
# - E_form (uncorrected) (eV/atom) = 0.6599
data_CdCuSi3
_symmetry_space_group_name_H-M 'P 1'
_symmetry_Int_Tables_number 1
_cell_length_a 4.5380
_cell_length_b 4.5380
_cell_length_c 4.5380
_cell_angle_alpha 90.00
_cell_angle_beta 90.00
_cell_angle_gamma 90.00
loop_
_symmetry_equiv_pos_as_xyz
'x,y,z'
loop_
_atom_site_label
_atom_site_fract_x
_atom_site_fract_y
_atom_site_fract_z
Cu1 0.0000 0.0000 0.0000
Si1 0.0000 0.0000 0.5000
Si2 0.5000 0.0000 0.0000
Si3 0.0000 0.5000 0.0000
Cd1 0.5000 0.5000 0.5000

(3)
# InFeIr2 PBEsol optimized geometry
# - crystal system = tetragonal
# - total moment (μB per formula unit) = 4.0
# - D(E_F) (states/eV per cell) = 4.200
# - E_form (eV/atom) = 0.12
data_InFeIr2
_symmetry_space_group_name_H-M 'P 1'
_symmetry_Int_Tables_number 1
_cell_length_a 3.4958
_cell_length_b 4.1327
_cell_length_c 4.1327
_cell_angle_alpha 90.00
_cell_angle_beta 90.00
_cell_angle_gamma 90.00
loop_
_symmetry_equiv_pos_as_xyz
'x,y,z'
loop_
_atom_site_label
_atom_site_fract_x
_atom_site_fract_y
_atom_site_fract_z
In1 0.5000 0.0000 0.0000
Ir1 0.0000 0.5000 0.0000
Ir2 0.0000 0.0000 0.5000
Fe1 0.5000 0.5000 0.5000

(4)
# YRuPb3 PBEsol optimized geometry
# - crystal system = cubic
# - total moment (μB per formula unit) = 2.5
# - D(E_F) (states/eV per cell) = 7.876
# - E_form (eV/atom) = 1.54
data_YRuPb3
_symmetry_space_group_name_H-M 'P 1'
_symmetry_Int_Tables_number 1
_cell_length_a 5.6331
_cell_length_b 5.6331
_cell_length_c 5.6331
_cell_angle_alpha 90.00
_cell_angle_beta 90.00
_cell_angle_gamma 90.00
loop_
_symmetry_equiv_pos_as_xyz
'x,y,z'
loop_
_atom_site_label
_atom_site_fract_x
_atom_site_fract_y
_atom_site_fract_z
Ru1 0.5000 0.5000 0.5000
Y1 0.0000 0.0000 0.0000
Pb1 0.5000 0.0000 0.0000
Pb2 0.0000 0.5000 0.0000
Pb3 0.0000 0.0000 0.5000